Compound: Sm5Al2Sb
Source: Alexandria
Functional: PBE-GGA
Structure: optimized geometry

abc: 8.349 8.349 8.811
angles: 118.28 118.28 90.00
Fractional coordinates of all 16 atoms:
1 Sm 0.518 0.688 0.706
2 Sm 0.812 0.982 0.294
3 Sm 0.000 0.000 0.000
4 Sm 0.500 0.500 0.000
5 Sm 0.188 0.018 0.706
6 Sm 0.688 0.188 0.706
7 Sm 0.018 0.518 0.706
8 Sm 0.312 0.812 0.294
9 Sm 0.982 0.482 0.294
10 Sm 0.482 0.312 0.294
11 Al 0.128 0.372 0.000
12 Al 0.628 0.128 0.000
13 Al 0.372 0.872 0.000
14 Al 0.872 0.628 0.000
15 Sb 0.750 0.750 0.500
16 Sb 0.250 0.250 0.500

Properties
Total DFT energy (no corrections) ... -4.899 eV per atom
Total moment ... 0.00 μB/f.u.